1.
## Np2CdO6 (PBE-GGA)

Data for an optimized crystal structure of Np2CdO6.

a b c (Å): 5.0555 5.7263 9.6037
angles (deg): 90.00 90.00 90.00
Element x y z (fractional)
Np1 0.0000 0.0000 0.1820
Np2 0.0000 0.0000 0.8180
Np3 0.5000 0.5000 0.3180
Np4 0.5000 0.5000 0.6820
Cd1 0.0000 0.5000 0.0000
Cd2 0.5000 0.0000 0.5000
O1 0.1965 0.1383 0.0000
O2 0.2379 0.6846 0.1798
O3 0.2379 0.6846 0.8202
O4 0.2621 0.1846 0.3202
O5 0.2621 0.1846 0.6798
O6 0.3035 0.6383 0.5000
O7 0.6965 0.3617 0.5000
O8 0.7379 0.8154 0.3202
O9 0.7379 0.8154 0.6798
O10 0.7621 0.3154 0.1798
O11 0.7621 0.3154 0.8202
O12 0.8035 0.8617 0.0000

Calculated values
Its space group is Pnnm (58). As for the density of states at the Fermi level: 1.099 states/eV/atom. The uncorrected formation energy is -2.436 eV per atom.

2.
## Sm2HoTh (PBE-GGA)

Data for an optimized crystal structure of Sm2HoTh.

a b c (Å): 3.5954 3.5954 35.1349
angles (deg): 90.00 90.00 120.00
Element x y z (fractional)
Sm1 0.0000 0.0000 0.2490
Sm2 0.0000 0.0000 0.7510
Sm3 0.3333 0.6667 0.4177
Sm4 0.3333 0.6667 0.9157
Sm5 0.6667 0.3333 0.0843
Sm6 0.6667 0.3333 0.5823
Ho1 0.0000 0.0000 0.0000
Ho2 0.3333 0.6667 0.6667
Ho3 0.6667 0.3333 0.3333
Th1 0.0000 0.0000 0.5000
Th2 0.3333 0.6667 0.1667
Th3 0.6667 0.3333 0.8333

Calculated values
Its space group is R-3m (166). As for the density of states at the Fermi level: 1.568 states/eV/atom. Its energy of formation is 0.036 eV/atom. Its distance to the lowest polymorph of the same formula is 15 meV/atom.

Question: Which formula does entry 2 have?
Answer: Sm2HoTh

What did the second record say?
## Sm2HoTh (PBE-GGA)

Data for an optimized crystal structure of Sm2HoTh.

a b c (Å): 3.5954 3.5954 35.1349
angles (deg): 90.00 90.00 120.00
Element x y z (fractional)
Sm1 0.0000 0.0000 0.2490
Sm2 0.0000 0.0000 0.7510
Sm3 0.3333 0.6667 0.4177
Sm4 0.3333 0.6667 0.9157
Sm5 0.6667 0.3333 0.0843
Sm6 0.6667 0.3333 0.5823
Ho1 0.0000 0.0000 0.0000
Ho2 0.3333 0.6667 0.6667
Ho3 0.6667 0.3333 0.3333
Th1 0.0000 0.0000 0.5000
Th2 0.3333 0.6667 0.1667
Th3 0.6667 0.3333 0.8333

Calculated values
Its space group is R-3m (166). As for the density of states at the Fermi level: 1.568 states/eV/atom. Its energy of formation is 0.036 eV/atom. Its distance to the lowest polymorph of the same formula is 15 meV/atom.

Question: What is the density of states at the Fermi level in the first record?
Answer: 1.099 states/eV/atom